NaNdCoO3: optimized geometry, PBE with a Hubbard U.

The structure in POSCAR format:
```
NaNdCoO3
1.0
1.775 -5.066 0.000
1.775 5.066 0.000
0.000 0.000 9.744
Na Nd Co O
2 2 2 6
Direct
0.239 0.761 0.750
0.761 0.239 0.250
0.500 0.500 0.000
0.500 0.500 0.500
0.036 0.964 0.250
0.964 0.036 0.750
0.131 0.869 0.082
0.131 0.869 0.418
0.435 0.565 0.250
0.565 0.435 0.750
0.869 0.131 0.582
0.869 0.131 0.918
```

Crystal system = orthorhombic
Space-group type = Cmcm (63)
Uncorrected energy = -75.00 eV per cell